(1)
# Pr2Ho4Er3, relaxed, DFT GGA-PBE
data_Pr2Ho4Er3
_chemical_formula_sum 'Pr8 Ho16 Er12'
_cell_length_a 16.2270
_cell_length_b 11.6076
_cell_length_c 6.1365
_cell_angle_alpha 90.00
_cell_angle_beta 96.26
_cell_angle_gamma 90.00
_symmetry_space_group_name_H-M 'C 1 2/c 1'
_symmetry_Int_Tables_number 15
loop_
_symmetry_equiv_pos_as_xyz
'x,y,z'
'-x,-y,-z'
'-x,y,-z+1/2'
'x,-y,z+1/2'
'x+1/2,y+1/2,z'
'-x+1/2,-y+1/2,-z'
'-x+1/2,y+1/2,-z+1/2'
'x+1/2,-y+1/2,z+1/2'
loop_
_atom_site_label
_atom_site_type_symbol
_atom_site_fract_x
_atom_site_fract_y
_atom_site_fract_z
Pr1 Pr 0.1224 0.1458 0.3213
Ho1 Ho 0.0469 0.3606 0.0151
Ho2 Ho 0.2168 0.1381 0.8481
Er1 Er 0.0000 0.0990 0.7500
Er2 Er 0.1645 0.4019 0.5968
# Energy relative to the elements in kJ/mol of formula units: 82

=====

(2)
# PrHo3Er7, relaxed, DFT GGA-PBE
data_PrHo3Er7
_chemical_formula_sum 'Pr1 Ho3 Er7'
_cell_length_a 6.8963
_cell_length_b 5.4954
_cell_length_c 9.8346
_cell_angle_alpha 90.00
_cell_angle_beta 109.24
_cell_angle_gamma 90.00
_symmetry_space_group_name_H-M 'P 1 2/m 1'
_symmetry_Int_Tables_number 10
loop_
_symmetry_equiv_pos_as_xyz
'x,y,z'
'-x,-y,-z'
'-x,y,-z'
'x,-y,z'
loop_
_atom_site_label
_atom_site_type_symbol
_atom_site_fract_x
_atom_site_fract_y
_atom_site_fract_z
Pr1 Pr 0.0000 0.0000 0.0000
Ho1 Ho 0.2761 0.5000 0.4944
Ho2 Ho 0.5000 0.0000 0.0000
Er1 Er 0.0000 0.0000 0.5000
Er2 Er 0.1502 0.5000 0.7895
Er3 Er 0.3244 0.5000 0.1428
Er4 Er 0.4291 0.0000 0.3321
# Energy relative to the elements in kJ/mol of formula units: 162
# Excess energy over the best structure of this formula in the dataset in eV per atom: 0.000

=====

(3)
# Pr2Ho4Er, relaxed, DFT GGA-PBE
data_Pr2Ho4Er
_chemical_formula_sum 'Pr4 Ho8 Er2'
_cell_length_a 6.7724
_cell_length_b 8.4939
_cell_length_c 9.2666
_cell_angle_alpha 65.59
_cell_angle_beta 72.04
_cell_angle_gamma 77.31
_symmetry_space_group_name_H-M 'P 1'
_symmetry_Int_Tables_number 1
loop_
_symmetry_equiv_pos_as_xyz
'x,y,z'
loop_
_atom_site_label
_atom_site_type_symbol
_atom_site_fract_x
_atom_site_fract_y
_atom_site_fract_z
Pr1 Pr 0.0000 0.0000 0.0000
Pr2 Pr 0.0964 0.3888 0.0203
Pr3 Pr 0.2868 0.1445 0.5699
Pr4 Pr 0.8098 0.2439 0.4497
Ho1 Ho 0.1466 0.5804 0.2837
Ho2 Ho 0.3829 0.5310 0.5934
Ho3 Ho 0.5262 0.0988 0.8803
Ho4 Ho 0.5698 0.2894 0.1395
Ho5 Ho 0.6623 0.6703 0.1654
Ho6 Ho 0.7135 0.8578 0.4267
Ho7 Ho 0.8559 0.4363 0.7110
Ho8 Ho 0.9502 0.8085 0.7361
Er1 Er 0.2408 0.9523 0.3090
Er2 Er 0.4343 0.7182 0.8544
# Energy relative to the elements in kJ/mol of formula units: 12
# Excess energy over the best structure of this formula in the dataset in eV per atom: 0.000

=====

(4)
# Pr7Ho3Er, relaxed, DFT GGA-PBE
data_Pr7Ho3Er
_chemical_formula_sum 'Pr14 Ho6 Er2'
_cell_length_a 12.8717
_cell_length_b 11.4678
_cell_length_c 5.9470
_cell_angle_alpha 90.00
_cell_angle_beta 117.46
_cell_angle_gamma 90.00
_symmetry_space_group_name_H-M 'C 1 2/m 1'
_symmetry_Int_Tables_number 12
loop_
_symmetry_equiv_pos_as_xyz
'x,y,z'
'-x,-y,-z'
'-x,y,-z'
'x,-y,z'
'x+1/2,y+1/2,z'
'-x+1/2,-y+1/2,-z'
'-x+1/2,y+1/2,-z'
'x+1/2,-y+1/2,z'
loop_
_atom_site_label
_atom_site_type_symbol
_atom_site_fract_x
_atom_site_fract_y
_atom_site_fract_z
Pr1 Pr 0.0000 0.0000 0.0000
Pr2 Pr 0.1914 0.2887 0.6912
Pr3 Pr 0.2091 0.5000 0.2076
Ho1 Ho 0.0000 0.2953 0.0000
Ho2 Ho 0.0000 0.5000 0.5000
Er1 Er 0.0000 0.0000 0.5000
# Energy relative to the elements in kJ/mol of formula units: 237
# Excess energy over the best structure of this formula in the dataset in eV per atom: 0.090

=====

(5)
# Pr6HoEr, relaxed, DFT GGA-PBE
data_Pr6HoEr
_chemical_formula_sum 'Pr24 Ho4 Er4'
_cell_length_a 7.3904
_cell_length_b 10.2930
_cell_length_c 14.6675
_cell_angle_alpha 90.00
_cell_angle_beta 90.00
_cell_angle_gamma 90.00
_symmetry_space_group_name_H-M 'F m m m'
_symmetry_Int_Tables_number 69
_symmetry_space_group_name_Hall '-F 2 2'
loop_
_atom_site_label
_atom_site_type_symbol
_atom_site_fract_x
_atom_site_fract_y
_atom_site_fract_z
Pr1 Pr 0.0000 0.0000 0.2501
Pr2 Pr 0.2500 0.2500 0.1226
Ho1 Ho 0.0000 0.0000 0.0000
Er1 Er 0.0000 0.0000 0.5000
# Energy relative to the elements in kJ/mol of formula units: 14
# Excess energy over the best structure of this formula in the dataset in eV per atom: 0.004

=====

(6)
# Pr3Ho4Er5, relaxed, DFT GGA-PBE
data_Pr3Ho4Er5
_chemical_formula_sum 'Pr6 Ho8 Er10'
_cell_length_a 17.7512
_cell_length_b 5.7140
_cell_length_c 8.6934
_cell_angle_alpha 90.00
_cell_angle_beta 116.41
_cell_angle_gamma 90.00
_symmetry_space_group_name_H-M 'C 1 2/m 1'
_symmetry_Int_Tables_number 12
loop_
_symmetry_equiv_pos_as_xyz
'x,y,z'
'-x,-y,-z'
'-x,y,-z'
'x,-y,z'
'x+1/2,y+1/2,z'
'-x+1/2,-y+1/2,-z'
'-x+1/2,y+1/2,-z'
'x+1/2,-y+1/2,z'
loop_
_atom_site_label
_atom_site_type_symbol
_atom_site_fract_x
_atom_site_fract_y
_atom_site_fract_z
Pr1 Pr 0.0000 0.0000 0.0000
Pr2 Pr 0.1852 0.5000 0.2285
Ho1 Ho 0.0375 0.5000 0.6970
Ho2 Ho 0.2096 0.5000 0.6487
Er1 Er 0.0000 0.5000 0.0000
Er2 Er 0.0937 0.0000 0.4417
Er3 Er 0.1615 0.0000 0.8919
# Energy relative to the elements in kJ/mol of formula units: 331
# Excess energy over the best structure of this formula in the dataset in eV per atom: 0.264

=====

Here are the calculated total energy numbers, same order: -4.523; -4.434; -4.616; -4.482; -4.710; -4.336 (eV/atom).